# PBE-GGA NdAgGeS3, relaxed
data_NdAgGeS3
_symmetry_space_group_name_H-M 'C m c m'
_symmetry_Int_Tables_number 63
_symmetry_space_group_name_Hall '-C 2c 2'
_cell_length_a 3.939
_cell_length_b 12.658
_cell_length_c 10.795
_cell_angle_alpha 90.00
_cell_angle_beta 90.00
_cell_angle_gamma 90.00
loop_
_atom_site_label
_atom_site_type_symbol
_atom_site_fract_x
_atom_site_fract_y
_atom_site_fract_z
Nd1 Nd 0.000 0.000 0.000
Ag1 Ag 0.000 0.478 0.250
Ge1 Ge 0.000 0.237 0.750
S1 S 0.000 0.109 0.250
S2 S 0.000 0.352 0.073
# DFT total energy (eV/f.u.): -29.29

***

# PBE-GGA NdAg2GeS4, relaxed
data_NdAg2GeS4
_symmetry_space_group_name_H-M 'A m a 2'
_symmetry_Int_Tables_number 40
_symmetry_space_group_name_Hall 'A 2 -2a'
_cell_length_a 9.949
_cell_length_b 9.864
_cell_length_c 7.206
_cell_angle_alpha 90.00
_cell_angle_beta 90.00
_cell_angle_gamma 90.00
loop_
_atom_site_label
_atom_site_type_symbol
_atom_site_fract_x
_atom_site_fract_y
_atom_site_fract_z
Nd1 Nd 0.000 0.000 0.000
Ag1 Ag 0.106 0.104 0.464
Ge1 Ge 0.250 0.278 0.972
S1 S 0.055 0.265 0.159
S2 S 0.250 0.071 0.813
S3 S 0.250 0.458 0.745
# DFT total energy (eV/f.u.): -36.65

***

# PBE-GGA NdAgGeTeS2, relaxed
data_NdAgGeTeS2
_symmetry_space_group_name_H-M 'C m c m'
_symmetry_Int_Tables_number 63
_symmetry_space_group_name_Hall '-C 2c 2'
_cell_length_a 4.030
_cell_length_b 13.479
_cell_length_c 11.339
_cell_angle_alpha 90.00
_cell_angle_beta 90.00
_cell_angle_gamma 90.00
loop_
_atom_site_label
_atom_site_type_symbol
_atom_site_fract_x
_atom_site_fract_y
_atom_site_fract_z
Nd1 Nd 0.000 0.000 0.000
Ag1 Ag 0.000 0.486 0.250
Ge1 Ge 0.000 0.203 0.750
Te1 Te 0.000 0.131 0.250
S1 S 0.000 0.367 0.079
# DFT total energy (eV/f.u.): -27.90